# 1
The following is a SCAN calculation of a PBEsol-optimized structure of LaTc2Au, from Alexandria.

Properties
E in eV per atom: -45.744
DOS at the Fermi energy in states/eV/cell: 6.61

a = 4.2359 Å, b = 4.2359 Å, c = 16.4185 Å
α = 90.00°, β = 90.00°, γ = 120.00°
Space group R3m (No. 160, hexagonal axes)
Inequivalent atoms, fractional coordinates:
La: 0.0000 0.0000 0.0000
Tc: 0.0000 0.0000 0.4765
Tc: 0.0000 0.0000 0.7992
Au: 0.0000 0.0000 0.2173



# 2
The following is a SCAN calculation of a PBEsol-optimized structure of LaTcAu3, from Alexandria.

Properties
E in eV per atom: -56.067
DOS at the Fermi energy in states/eV/cell: 2.22

a = 5.3640 Å, b = 5.3640 Å, c = 5.3640 Å
α = 90.00°, β = 90.00°, γ = 90.00°
Space group Pm-3m (No. 221)
Inequivalent atoms, fractional coordinates:
La: 0.0000 0.0000 0.0000
Tc: 0.5000 0.5000 0.5000
Au: 0.0000 0.0000 0.5000



# 3
The following is a SCAN calculation of a PBEsol-optimized structure of LaTcAu2, from Alexandria.

Properties
E in eV per atom: -54.259
DOS at the Fermi energy in states/eV/cell: 2.67

a = 4.1965 Å, b = 4.1965 Å, c = 4.3395 Å
α = 90.00°, β = 90.00°, γ = 90.00°
Space group P4/mmm (No. 123)
Inequivalent atoms, fractional coordinates:
La: 0.0000 0.0000 0.0000
Tc: 0.5000 0.5000 0.0000
Au: 0.0000 0.5000 0.5000



# 4
The following is a SCAN calculation of a PBEsol-optimized structure of LaTcAu, from Alexandria.

Properties
E in eV per atom: -49.220
DOS at the Fermi energy in states/eV/cell: 2.85

a = 4.4707 Å, b = 4.4707 Å, c = 3.8624 Å
α = 90.00°, β = 90.00°, γ = 120.00°
Space group P-6m2 (No. 187)
Inequivalent atoms, fractional coordinates:
La: 0.0000 0.0000 0.0000
Tc: 0.6667 0.3333 0.5000
Au: 0.3333 0.6667 0.5000



# 5
The following is a SCAN calculation of a PBEsol-optimized structure of LaTc2Au, from Alexandria.

Properties
E in eV per atom: -45.037
DOS at the Fermi energy in states/eV/cell: 15.20

a = 6.5491 Å, b = 6.5491 Å, c = 6.5491 Å
α = 90.00°, β = 90.00°, γ = 90.00°
Space group Fm-3m (No. 225)
Inequivalent atoms, fractional coordinates:
La: 0.0000 0.0000 0.0000
Tc: 0.2500 0.2500 0.2500
Au: 0.0000 0.0000 0.5000



# 6
The following is a SCAN calculation of a PBEsol-optimized structure of LaTcAu, from Alexandria.

Properties
E in eV per atom: -49.049
DOS at the Fermi energy in states/eV/cell: 4.92

a = 3.6416 Å, b = 3.6416 Å, c = 9.6115 Å
α = 90.00°, β = 90.00°, γ = 90.00°
Space group I4mm (No. 107)
Inequivalent atoms, fractional coordinates:
La: 0.0000 0.0000 0.0000
Tc: 0.0000 0.0000 0.2824
Au: 0.0000 0.0000 0.6947



# 7
The following is a SCAN calculation of a PBEsol-optimized structure of LaTiTcAu2, from Alexandria.

Properties
E in eV per atom: -45.285
DOS at the Fermi energy in states/eV/cell: 3.08

a = 5.3275 Å, b = 5.3275 Å, c = 4.6774 Å
α = 90.00°, β = 90.00°, γ = 90.00°
Space group P4/mmm (No. 123)
Inequivalent atoms, fractional coordinates:
La: 0.0000 0.0000 0.0000
Ti: 0.5000 0.5000 0.5000
Tc: 0.0000 0.0000 0.5000
Au: 0.0000 0.5000 0.0000



# 8
The following is a SCAN calculation of a PBEsol-optimized structure of La2TeAu, from Alexandria.

Properties
Formation energy (no corrections) in meV/atom: -1258
DOS at the Fermi energy in states/eV/cell: 8.61

a = 4.7511 Å, b = 4.1175 Å, c = 11.8469 Å
α = 90.00°, β = 90.00°, γ = 90.00°
Space group Amm2 (No. 38)
Inequivalent atoms, fractional coordinates:
La: 0.0000 0.0000 0.0000
La: 0.5000 0.0000 0.2555
Te: 0.5000 0.0000 0.5295
Au: 0.0000 0.0000 0.7449



# 9
The following is a SCAN calculation of a PBEsol-optimized structure of La4TeAu, from Alexandria.

Properties
Formation energy (no corrections) in meV/atom: -126
DOS at the Fermi energy in states/eV/cell: 29.90

a = 8.8205 Å, b = 8.8205 Å, c = 8.8205 Å
α = 90.00°, β = 90.00°, γ = 90.00°
Space group F-43m (No. 216)
Inequivalent atoms, fractional coordinates:
La: 0.1239 0.1239 0.3761
Te: 0.2500 0.2500 0.7500
Au: 0.0000 0.0000 0.0000



# 10
The following is a SCAN calculation of a PBEsol-optimized structure of La2TeAu, from Alexandria.

Properties
Formation energy (no corrections) in meV/atom: -1077
DOS at the Fermi energy in states/eV/cell: 6.13

a = 4.1156 Å, b = 4.7825 Å, c = 11.0071 Å
α = 90.00°, β = 90.00°, γ = 90.00°
Space group Imm2 (No. 44)
Inequivalent atoms, fractional coordinates:
La: 0.0000 0.0000 0.0000
La: 0.0000 0.5000 0.2360
Te: 0.0000 0.5000 0.7745
Au: 0.0000 0.0000 0.5062



# 11
The following is a SCAN calculation of a PBEsol-optimized structure of La2TeAu, from Alexandria.

Properties
Formation energy (no corrections) in meV/atom: -1205
DOS at the Fermi energy in states/eV/cell: 3.43

a = 3.8617 Å, b = 3.8617 Å, c = 7.3099 Å
α = 90.00°, β = 90.00°, γ = 90.00°
Space group P4/mmm (No. 123)
Inequivalent atoms, fractional coordinates:
La: 0.0000 0.0000 0.2422
Te: 0.5000 0.5000 0.5000
Au: 0.5000 0.5000 0.0000



# 12
The following is a SCAN calculation of a PBEsol-optimized structure of La2TeAu, from Alexandria.

Properties
Formation energy (no corrections) in meV/atom: -1354
DOS at the Fermi energy in states/eV/cell: 13.03

a = 4.3052 Å, b = 4.3052 Å, c = 23.0855 Å
α = 90.00°, β = 90.00°, γ = 120.00°
Space group R-3m (No. 166, hexagonal axes)
Inequivalent atoms, fractional coordinates:
La: 0.0000 0.0000 0.2445
Te: 0.0000 0.0000 0.0000
Au: 0.0000 0.0000 0.5000



Listing volume for the structures above in their given order: 85, 154, 76, 67, 70, 64, 133, 116, 172, 108, 109, 124 Å³/f.u..